The following is a DFT calculation (PBE-GGA) of a relaxed structure of NaHfF3.

Unit cell a=4.333 b=4.333 c=4.333 alpha=90.00 beta=90.00 gamma=90.00
Space group Pm-3m (No. 221)
Symmetry-distinct sites (fractional):
Na1 0.000 0.000 0.000
Hf1 0.500 0.500 0.500
F1 0.000 0.500 0.500

## Properties
Total DFT energy (no corrections) in eV per formula unit: -28.8
Theoretical density in kg/m³: 5275
Uncorrected formation energy in eV/atom: -2.3823
Offset from the most stable computed form in eV per atom: 0.000
Total magnetic moment in μB per formula unit: 1.302